[1]
First-principles (meta-GGA SCAN) data for a PBEsol-optimized structure of CdRuAu2, as listed in Alexandria.

a b c (Å): 2.795 4.712 4.977
angles (deg): 90.00 90.00 90.00
Space group Pmm2 (No. 25)
Asymmetric unit:
Cd 0.000 0.000 0.000 [1 per cell]
Ru 0.000 0.500 0.657 [1 per cell]
Au 0.500 0.000 0.512 [1 per cell]
Au 0.500 0.500 0.168 [1 per cell]

Properties
The formation energy comes out at 0.198 eV/atom. The total energy is -50.690 eV per atom.

[2]
First-principles (meta-GGA SCAN) data for a PBEsol-optimized structure of HfAlFeN2, as listed in Alexandria.

a b c (Å): 3.754 3.754 4.391
angles (deg): 90.00 90.00 90.00
Space group P4/mmm (No. 123)
Asymmetric unit:
Hf 0.000 0.000 0.000 [1 per cell]
Al 0.500 0.500 0.000 [1 per cell]
Fe 0.500 0.500 0.500 [1 per cell]
N 0.000 0.500 0.500 [2 per cell]

Properties
Its uncorrected formation energy is 717 meV/atom. The total energy is -20.710 eV per atom.

[3]
First-principles (meta-GGA SCAN) data for a PBEsol-optimized structure of La2TePt2, as listed in Alexandria.

a b c (Å): 3.970 3.970 16.233
angles (deg): 90.00 90.00 90.00
Space group I4/mmm (No. 139)
Asymmetric unit:
La 0.000 0.000 0.120 [4 per cell]
Te 0.000 0.000 0.500 [2 per cell]
Pt 0.000 0.500 0.250 [4 per cell]

Properties
Its uncorrected formation energy is -1369 meV/atom. The total energy is -54.139 eV per atom. The value obtained for the energy above the lowest structure with this stoichiometry is 0.045 eV/atom.

[4]
First-principles (meta-GGA SCAN) data for a PBEsol-optimized structure of MnFePt, as listed in Alexandria.

a b c (Å): 4.0822 4.0822 2.6025
angles (deg): 90.00 90.00 120.00
Space group P-6m2 (No. 187)
Asymmetric unit:
Mn 0.0000 0.0000 0.0000 [1 per cell]
Fe 0.3333 0.6667 0.0000 [1 per cell]
Pt 0.6667 0.3333 0.5000 [1 per cell]

Properties
The formation energy comes out at -0.324 eV/atom. The total energy is -35.850 eV per atom.

[5]
First-principles (meta-GGA SCAN) data for a PBEsol-optimized structure of Zn2HgAu2, as listed in Alexandria.

a b c (Å): 3.655 3.655 13.089
angles (deg): 90.00 90.00 90.00
Space group I4/mmm (No. 139)
Asymmetric unit:
Zn 0.000 0.500 0.250 [4 per cell]
Hg 0.000 0.000 0.000 [2 per cell]
Au 0.000 0.000 0.394 [4 per cell]

Properties
The formation energy comes out at -0.131 eV/atom. The total energy is -46.833 eV per atom. The value obtained for the energy above the lowest structure with this stoichiometry is 0.027 eV/atom.

[6]
First-principles (meta-GGA SCAN) data for a PBEsol-optimized structure of ErFe5P3, as listed in Alexandria.

a b c (Å): 11.598 3.596 10.091
angles (deg): 90.00 90.00 90.00
Space group Pnma (No. 62)
Asymmetric unit:
Er 0.204 0.250 0.080 [4 per cell]
Fe 0.010 0.750 0.095 [4 per cell]
Fe 0.011 0.750 0.706 [4 per cell]
Fe 0.067 0.750 0.464 [4 per cell]
Fe 0.175 0.250 0.780 [4 per cell]
Fe 0.201 0.250 0.377 [4 per cell]
P 0.104 0.750 0.897 [4 per cell]
P 0.114 0.250 0.579 [4 per cell]
P 0.130 0.750 0.266 [4 per cell]

Properties
The formation energy comes out at -0.676 eV/atom. The total energy is -19.807 eV per atom.

[7]
First-principles (meta-GGA SCAN) data for a PBEsol-optimized structure of P2Se5, as listed in Alexandria.

a b c (Å): 6.876 20.021 5.518
angles (deg): 90.00 113.02 90.00
Space group P2_1/c (No. 14)
Asymmetric unit:
P 0.222 0.047 0.293 [4 per cell]
P 0.226 0.165 0.744 [4 per cell]
Se 0.060 0.694 0.127 [4 per cell]
Se 0.071 0.608 0.438 [4 per cell]
Se 0.228 0.052 0.707 [4 per cell]
Se 0.485 0.607 0.157 [4 per cell]
Se 0.490 0.693 0.853 [4 per cell]

Properties
Its uncorrected formation energy is -21 meV/atom. The total energy is -17.334 eV per atom.

[8]
First-principles (meta-GGA SCAN) data for a PBEsol-optimized structure of Dy5Ge10Rh4, as listed in Alexandria.

a b c (Å): 12.851 12.851 4.247
angles (deg): 90.00 90.00 90.00
Space group P4/mbm (No. 127)
Asymmetric unit:
Dy 0.000 0.000 0.000 [2 per cell]
Dy 0.113 0.387 0.500 [4 per cell]
Dy 0.175 0.675 0.500 [4 per cell]
Ge 0.002 0.842 0.500 [8 per cell]
Ge 0.067 0.567 0.000 [4 per cell]
Ge 0.162 0.199 0.000 [8 per cell]
Rh 0.021 0.754 0.000 [8 per cell]

Properties
The formation energy comes out at -0.941 eV/atom. The total energy is -30.675 eV per atom.

[9]
First-principles (meta-GGA SCAN) data for a PBEsol-optimized structure of MnGaSCl2, as listed in Alexandria.

a b c (Å): 4.703 4.703 4.778
angles (deg): 90.00 90.00 90.00
Space group P4/mmm (No. 123)
Asymmetric unit:
Mn 0.000 0.000 0.000 [1 per cell]
Ga 0.500 0.500 0.500 [1 per cell]
S 0.500 0.500 0.000 [1 per cell]
Cl 0.000 0.500 0.500 [2 per cell]

Properties
Its uncorrected formation energy is -409 meV/atom. The total energy is -12.446 eV per atom.

[10]
First-principles (meta-GGA SCAN) data for a PBEsol-optimized structure of LiHfBePt2, as listed in Alexandria.

a b c (Å): 4.299 4.299 3.934
angles (deg): 90.00 90.00 90.00
Space group P4/mmm (No. 123)
Asymmetric unit:
Li 0.000 0.000 0.000 [1 per cell]
Hf 0.500 0.500 0.000 [1 per cell]
Be 0.000 0.000 0.500 [1 per cell]
Pt 0.000 0.500 0.500 [2 per cell]

Properties
The formation energy comes out at -0.587 eV/atom. The total energy is -42.547 eV per atom.

[11]
First-principles (meta-GGA SCAN) data for a PBEsol-optimized structure of CrTc2Ir, as listed in Alexandria.

a b c (Å): 2.6805 2.6805 25.9898
angles (deg): 90.00 90.00 120.00
Space group R3m (No. 160, hexagonal axes)
Asymmetric unit:
Cr 0.0000 0.0000 0.0000 [3 per cell]
Tc 0.0000 0.0000 0.2500 [3 per cell]
Tc 0.0000 0.0000 0.5011 [3 per cell]
Ir 0.0000 0.0000 0.7452 [3 per cell]

Properties
The formation energy comes out at 0.022 eV/atom. The total energy is -39.879 eV per atom. The value obtained for the energy above the lowest structure with this stoichiometry is 0.080 eV/atom.

[12]
First-principles (meta-GGA SCAN) data for a PBEsol-optimized structure of LaTaAgBi2, as listed in Alexandria.

a b c (Å): 5.300 5.300 5.484
angles (deg): 90.00 90.00 90.00
Space group P4/mmm (No. 123)
Asymmetric unit:
La 0.000 0.000 0.000 [1 per cell]
Ta 0.500 0.500 0.000 [1 per cell]
Ag 0.000 0.000 0.500 [1 per cell]
Bi 0.000 0.500 0.500 [2 per cell]

Properties
The formation energy comes out at 1.028 eV/atom. The total energy is -58.615 eV per atom.